# 1
Ba3AlGa2Au6: optimized geometry, PBE-GGA.

Geometry as POSCAR:
```
Ba3AlGa2Au6
1.0
6.8305 0.0000 0.0000
-3.4152 5.9153 0.0000
0.0000 0.0000 8.3452
Au Ba Ga Al
6 3 2 1
Direct
0.8165 0.6331 0.6692 Au
0.3669 0.1835 0.6692 Au
0.1835 0.8165 0.3308 Au
0.1835 0.3669 0.3308 Au
0.6331 0.8165 0.3308 Au
0.8165 0.1835 0.6692 Au
0.0000 0.0000 0.0000 Ba
0.3333 0.6667 0.6879 Ba
0.6667 0.3333 0.3121 Ba
0.3333 0.6667 0.0958 Ga
0.6667 0.3333 0.9042 Ga
0.0000 0.0000 0.5000 Al
```

## Properties
Calculated volume, Å³/atom: 28.10
Calculated formation energy, eV per atom: -0.534
M_tot, μB per cell: 0.0

=====

# 2
BaAlGaAu6: optimized geometry, PBE-GGA.

Geometry as POSCAR:
```
BaAlGaAu6
1.0
7.9642 0.0000 0.0000
0.0000 9.7552 0.0000
-3.9821 -4.8776 5.4334
Ba Au Ga Al
2 12 2 2
Direct
0.2432 0.4932 0.4863 Ba
0.7568 0.5068 0.5137 Ba
0.9009 0.1098 0.2487 Au
0.9009 0.6389 0.2487 Au
0.6522 0.8902 0.7513 Au
0.4218 0.1718 0.8436 Au
0.9132 0.1632 0.8265 Au
0.6522 0.3611 0.7513 Au
0.3478 0.1098 0.2487 Au
0.3478 0.6389 0.2487 Au
0.5782 0.8282 0.1564 Au
0.0991 0.3611 0.7513 Au
0.0991 0.8902 0.7513 Au
0.0868 0.8368 0.1735 Au
0.5000 0.0000 0.5000 Ga
0.0000 0.0000 0.5000 Ga
0.5000 0.0000 0.0000 Al
0.5000 0.5000 0.0000 Al
```

## Properties
Calculated volume, Å³/atom: 23.45
Calculated formation energy, eV per atom: -0.267
M_tot, μB per cell: 0.0

=====

calculated formation energy of number 1 (Ba3AlGa2Au6)? -0.534 eV per atom